# 1
Here is crystalline LiY4Ag at its relaxed geometry from the Alexandria database. Energies are from PBE. Values from VASP.

Properties
The energy relative to the elements is 0.48 eV/atom. The calculated total energy is -27.72 eV/f.u.

Cell and atoms, written as Quantum ESPRESSO input:
```
&SYSTEM
  ibrav = 0, nat = 6, ntyp = 3
/
ATOMIC_SPECIES
Li 6.94 Li.upf
Y 88.91 Y.upf
Ag 107.87 Ag.upf
CELL_PARAMETERS angstrom
0.000 4.525 4.525
4.525 0.000 4.525
4.525 4.525 0.000
ATOMIC_POSITIONS crystal
Li 0.000 0.000 0.000
Y 0.126 0.625 0.625
Y 0.625 0.126 0.625
Y 0.625 0.625 0.126
Y 0.625 0.625 0.625
Ag 0.250 0.250 0.250
```

# 2
Here is crystalline ZrSiPd2Pt at its relaxed geometry from the Alexandria database. Energies are from PBE. Values from VASP.

Properties
The calculated total energy is -25.93 eV/f.u.

Cell and atoms, written as Quantum ESPRESSO input:
```
&SYSTEM
  ibrav = 0, nat = 5, ntyp = 4
/
ATOMIC_SPECIES
Zr 91.22 Zr.upf
Si 28.09 Si.upf
Pd 106.42 Pd.upf
Pt 195.08 Pt.upf
CELL_PARAMETERS angstrom
4.906 0.000 0.000
0.000 4.906 0.000
0.000 0.000 4.963
ATOMIC_POSITIONS crystal
Zr 0.000 0.000 0.000
Si 0.500 0.500 0.500
Pd 0.000 0.500 0.000
Pd 0.500 0.000 0.000
Pt 0.000 0.000 0.500
```

# 3
Here is crystalline CaHf at its relaxed geometry from the Alexandria database. Energies are from PBE. Values from VASP.

Properties
The energy relative to the elements is 0.39 eV/atom. The calculated total energy is -11.18 eV/f.u.

Cell and atoms, written as Quantum ESPRESSO input:
```
&SYSTEM
  ibrav = 0, nat = 4, ntyp = 2
/
ATOMIC_SPECIES
Ca 40.08 Ca.upf
Hf 178.49 Hf.upf
CELL_PARAMETERS angstrom
3.225 0.000 0.000
0.000 5.041 0.000
0.000 0.000 7.044
ATOMIC_POSITIONS crystal
Ca 0.250 0.250 0.137
Ca 0.750 0.750 0.863
Hf 0.250 0.750 0.432
Hf 0.750 0.250 0.568
```

# 4
Here is crystalline K2TlTc2O6 at its relaxed geometry from the Alexandria database. Energies are from PBE. Values from VASP.

Properties
The calculated total energy is -68.34 eV/f.u.

Cell and atoms, written as Quantum ESPRESSO input:
```
&SYSTEM
  ibrav = 0, nat = 11, ntyp = 4
/
ATOMIC_SPECIES
K 39.10 K.upf
Tl 204.38 Tl.upf
Tc 98.00 Tc.upf
O 16.00 O.upf
CELL_PARAMETERS angstrom
3.162 1.826 6.983
-3.162 1.826 6.983
0.000 -3.651 6.983
ATOMIC_POSITIONS crystal
K 0.199 0.199 0.199
K 0.801 0.801 0.801
Tl 0.000 0.000 0.000
Tc 0.417 0.417 0.417
Tc 0.583 0.583 0.583
O 0.252 0.730 0.730
O 0.270 0.270 0.748
O 0.270 0.748 0.270
O 0.730 0.252 0.730
O 0.730 0.730 0.252
O 0.748 0.270 0.270
```

# 5
Here is crystalline Li4In3Pd4 at its relaxed geometry from the Alexandria database. Energies are from PBE. Values from VASP.

Properties
The energy relative to the elements is -0.44 eV/atom. The calculated total energy is -41.53 eV/f.u.

Cell and atoms, written as Quantum ESPRESSO input:
```
&SYSTEM
  ibrav = 0, nat = 11, ntyp = 3
/
ATOMIC_SPECIES
Li 6.94 Li.upf
In 114.82 In.upf
Pd 106.42 Pd.upf
CELL_PARAMETERS angstrom
2.929 0.000 0.000
0.019 4.451 0.000
0.975 2.121 13.687
ATOMIC_POSITIONS crystal
Li 0.104 0.408 0.184
Li 0.226 0.236 0.527
Li 0.774 0.764 0.473
Li 0.896 0.592 0.816
In 0.320 0.856 0.288
In 0.500 0.500 0.000
In 0.680 0.144 0.712
Pd 0.162 0.052 0.897
Pd 0.237 0.679 0.639
Pd 0.763 0.321 0.361
Pd 0.838 0.948 0.103
```

# 6
Here is crystalline RbZnInBr2 at its relaxed geometry from the Alexandria database. Energies are from PBE. Values from VASP.

Properties
The calculated total energy is -12.07 eV/f.u.

Cell and atoms, written as Quantum ESPRESSO input:
```
&SYSTEM
  ibrav = 0, nat = 5, ntyp = 4
/
ATOMIC_SPECIES
Rb 85.47 Rb.upf
Zn 65.41 Zn.upf
In 114.82 In.upf
Br 79.90 Br.upf
CELL_PARAMETERS angstrom
6.125 0.000 0.000
0.000 6.125 0.000
0.000 0.000 5.173
ATOMIC_POSITIONS crystal
Rb 0.000 0.000 0.000
Zn 0.500 0.500 0.000
In 0.500 0.500 0.500
Br 0.000 0.500 0.500
Br 0.500 0.000 0.500
```

# 7
Here is crystalline TcGe2Pt at its relaxed geometry from the Alexandria database. Energies are from PBE. Values from VASP.

Properties
The energy relative to the elements is -0.03 eV/atom. The calculated total energy is -25.76 eV/f.u.

Cell and atoms, written as Quantum ESPRESSO input:
```
&SYSTEM
  ibrav = 0, nat = 16, ntyp = 3
/
ATOMIC_SPECIES
Tc 98.00 Tc.upf
Ge 72.64 Ge.upf
Pt 195.08 Pt.upf
CELL_PARAMETERS angstrom
6.240 0.000 0.000
0.000 6.240 0.000
0.000 0.000 6.240
ATOMIC_POSITIONS crystal
Tc 0.000 0.000 0.000
Tc 0.000 0.500 0.500
Tc 0.500 0.000 0.500
Tc 0.500 0.500 0.000
Ge 0.250 0.250 0.250
Ge 0.250 0.250 0.750
Ge 0.250 0.750 0.250
Ge 0.250 0.750 0.750
Ge 0.750 0.250 0.250
Ge 0.750 0.250 0.750
Ge 0.750 0.750 0.250
Ge 0.750 0.750 0.750
Pt 0.000 0.000 0.500
Pt 0.000 0.500 0.000
Pt 0.500 0.000 0.000
Pt 0.500 0.500 0.500
```

# 8
Here is crystalline Dy2HoNi at its relaxed geometry from the Alexandria database. Energies are from PBE. Values from VASP.

Properties
The energy relative to the elements is -0.22 eV/atom. The calculated total energy is -20.44 eV/f.u.

Cell and atoms, written as Quantum ESPRESSO input:
```
&SYSTEM
  ibrav = 0, nat = 16, ntyp = 3
/
ATOMIC_SPECIES
Dy 162.50 Dy.upf
Ho 164.93 Ho.upf
Ni 58.69 Ni.upf
CELL_PARAMETERS angstrom
3.636 0.000 0.000
0.000 11.890 0.000
0.000 0.000 9.515
ATOMIC_POSITIONS crystal
Dy 0.000 0.137 0.069
Dy 0.000 0.137 0.431
Dy 0.000 0.863 0.569
Dy 0.000 0.863 0.931
Dy 0.500 0.363 0.569
Dy 0.500 0.363 0.931
Dy 0.500 0.637 0.069
Dy 0.500 0.637 0.431
Ho 0.000 0.419 0.250
Ho 0.000 0.581 0.750
Ho 0.500 0.081 0.750
Ho 0.500 0.919 0.250
Ni 0.000 0.264 0.750
Ni 0.000 0.736 0.250
Ni 0.500 0.236 0.250
Ni 0.500 0.764 0.750
```

# 9
Here is crystalline CsBa3Ti at its relaxed geometry from the Alexandria database. Energies are from PBE. Values from VASP.

Properties
The energy relative to the elements is 1.34 eV/atom. The calculated total energy is -7.81 eV/f.u.

Cell and atoms, written as Quantum ESPRESSO input:
```
&SYSTEM
  ibrav = 0, nat = 5, ntyp = 3
/
ATOMIC_SPECIES
Cs 132.91 Cs.upf
Ba 137.33 Ba.upf
Ti 47.87 Ti.upf
CELL_PARAMETERS angstrom
6.410 0.000 0.000
0.000 6.410 0.000
0.000 0.000 6.410
ATOMIC_POSITIONS crystal
Cs 0.000 0.000 0.000
Ba 0.000 0.000 0.500
Ba 0.000 0.500 0.000
Ba 0.500 0.000 0.000
Ti 0.500 0.500 0.500
```

# 10
Here is crystalline Na2SrPdC at its relaxed geometry from the Alexandria database. Energies are from PBE. Values from VASP.

Properties
The energy relative to the elements is 0.64 eV/atom. The calculated total energy is -15.56 eV/f.u.

Cell and atoms, written as Quantum ESPRESSO input:
```
&SYSTEM
  ibrav = 0, nat = 5, ntyp = 4
/
ATOMIC_SPECIES
Na 22.99 Na.upf
Sr 87.62 Sr.upf
Pd 106.42 Pd.upf
C 12.01 C.upf
CELL_PARAMETERS angstrom
4.804 0.000 0.000
0.000 4.804 0.000
0.000 0.000 5.380
ATOMIC_POSITIONS crystal
Na 0.000 0.500 0.000
Na 0.500 0.000 0.000
Sr 0.000 0.000 0.500
Pd 0.500 0.500 0.500
C 0.000 0.000 0.000
```

# 11
Here is crystalline Ta2NbAs at its relaxed geometry from the Alexandria database. Energies are from PBE. Values from VASP.

Properties
The energy relative to the elements is 0.34 eV/atom. The calculated total energy is -37.06 eV/f.u.

Cell and atoms, written as Quantum ESPRESSO input:
```
&SYSTEM
  ibrav = 0, nat = 16, ntyp = 3
/
ATOMIC_SPECIES
Ta 180.95 Ta.upf
Nb 92.91 Nb.upf
As 74.92 As.upf
CELL_PARAMETERS angstrom
3.928 0.000 0.000
0.000 3.928 0.000
0.000 0.000 19.560
ATOMIC_POSITIONS crystal
Ta 0.243 0.250 0.125
Ta 0.250 0.743 0.375
Ta 0.250 0.757 0.875
Ta 0.257 0.250 0.625
Ta 0.743 0.750 0.625
Ta 0.750 0.243 0.875
Ta 0.750 0.257 0.375
Ta 0.757 0.750 0.125
Nb 0.000 0.000 0.500
Nb 0.000 0.500 0.750
Nb 0.500 0.000 0.250
Nb 0.500 0.500 0.000
As 0.000 0.000 0.000
As 0.000 0.500 0.250
As 0.500 0.000 0.750
As 0.500 0.500 0.500
```

# 12
Here is crystalline Ce2Al3Zn4Cu at its relaxed geometry from the Alexandria database. Energies are from PBE. Values from VASP.

Properties
The energy relative to the elements is -0.30 eV/atom. The calculated total energy is -35.29 eV/f.u.

Cell and atoms, written as Quantum ESPRESSO input:
```
&SYSTEM
  ibrav = 0, nat = 10, ntyp = 4
/
ATOMIC_SPECIES
Ce 140.12 Ce.upf
Al 26.98 Al.upf
Zn 65.41 Zn.upf
Cu 63.55 Cu.upf
CELL_PARAMETERS angstrom
4.265 0.000 0.000
0.000 4.265 0.000
0.000 0.000 10.438
ATOMIC_POSITIONS crystal
Ce 0.000 0.500 0.247
Ce 0.500 0.000 0.753
Al 0.000 0.000 0.000
Al 0.000 0.500 0.637
Al 0.500 0.000 0.363
Zn 0.000 0.000 0.500
Zn 0.000 0.500 0.872
Zn 0.500 0.000 0.128
Zn 0.500 0.500 0.500
Cu 0.500 0.500 0.000
```